Material: TlAsP2W
Method: DFT, PBE
State: optimized geometry

It has space group P4/mmm (No. 123), with a = 4.9690 Å, b = 4.9690 Å, c = 5.3640 Å, α = 90.00°, β = 90.00° and γ = 90.00°. The distinct sites, in fractional coordinates, are Tl at (0.0000, 0.0000, 0.0000), As at (0.5000, 0.5000, 0.5000), P at (0.0000, 0.5000, 0.0000) and W at (0.0000, 0.0000, 0.5000).

Its total energy is -3.89 eV per atom. As for the formation energy: 2270 meV per atom. The calculation puts the size of the total moment at 3.26 μB/cell.

=====

Material: CaLa2Ru
Method: DFT, PBE
State: optimized geometry

It has space group P4/mmm (No. 123), with a = 3.5676 Å, b = 3.5676 Å, c = 10.1266 Å, α = 90.00°, β = 90.00° and γ = 90.00°. The distinct sites, in fractional coordinates, are Ca at (0.0000, 0.0000, 0.0000), La at (0.5000, 0.5000, 0.3308) and Ru at (0.0000, 0.0000, 0.5000).

For the energy relative to the lowest polymorph listed for this composition, the calculation gives 99 meV per atom. Its total energy is -5.39 eV per atom. As for the formation energy: -107 meV per atom. The calculation puts the size of the total moment at 0.00 μB/cell.

=====

Material: CrNi7Ge2P2
Method: DFT, PBE
State: optimized geometry

It has space group C2/m (No. 12), with a = 4.9108 Å, b = 4.9856 Å, c = 13.3905 Å, α = 90.00°, β = 95.87° and γ = 90.00°. The distinct sites, in fractional coordinates, are Cr at (0.0000, 0.0000, 0.0000), Ni at (0.0000, 0.5000, 0.0000), Ni at (0.1141, 0.5000, 0.4055), Ni at (0.2119, 0.2498, 0.8611), Ge at (0.1325, 0.0000, 0.4183) and P at (0.0658, 0.5000, 0.2411).

Its total energy is -6.00 eV per atom. As for the formation energy: -152 meV per atom. The calculation puts the size of the total moment at 5.43 μB/cell.

=====

Material: Ba3FeGe
Method: DFT, PBE
State: optimized geometry

It has space group Pm-3m (No. 221), with a = 5.6884 Å, b = 5.6884 Å, c = 5.6884 Å, α = 90.00°, β = 90.00° and γ = 90.00°. The distinct sites, in fractional coordinates, are Ba at (0.0000, 0.0000, 0.5000), Fe at (0.0000, 0.0000, 0.0000) and Ge at (0.5000, 0.5000, 0.5000).

Its total energy is -3.37 eV per atom. As for the formation energy: 398 meV per atom. The calculation puts the size of the total moment at 0.00 μB/cell.

=====

The lowest formation energy belongs to which entry?
CrNi7Ge2P2